Model P:
Compound: Dy5Er2Ni2Te2
Source: OQMD
Functional: PBE
Structure: optimized geometry

abc: 3.8548 15.6286 9.5522
angles: 90.00 90.00 90.00
Space group Imm2 (No. 44)
Inequivalent atoms, fractional coordinates:
Dy: 0.0000 0.0000 0.0000 (multiplicity 2)
Dy: 0.0000 0.1329 0.5830 (multiplicity 4)
Dy: 0.0000 0.3536 0.7306 (multiplicity 4)
Er: 0.0000 0.3148 0.3792 (multiplicity 4)
Ni: 0.0000 0.2373 0.0719 (multiplicity 4)
Te: 0.0000 0.0000 0.3374 (multiplicity 2)
Te: 0.0000 0.5000 0.2354 (multiplicity 2)

---

Model Q:
Compound: Dy5Er2Ni2Te2
Source: OQMD
Functional: PBE
Structure: optimized geometry

abc: 3.8476 15.6099 9.5425
angles: 90.00 90.00 90.00
Space group Imm2 (No. 44)
Inequivalent atoms, fractional coordinates:
Dy: 0.0000 0.0000 0.0000 (multiplicity 2)
Dy: 0.0000 0.3150 0.3789 (multiplicity 4)
Dy: 0.0000 0.3537 0.7309 (multiplicity 4)
Er: 0.0000 0.1327 0.5829 (multiplicity 4)
Ni: 0.0000 0.2378 0.0718 (multiplicity 4)
Te: 0.0000 0.0000 0.3383 (multiplicity 2)
Te: 0.0000 0.5000 0.2341 (multiplicity 2)

---

Energy comparison, zero being the most stable, in meV per atom: model P 0; model Q 5.

---

Model P:
Compound: Dy4Er3Ni2Te2
Source: OQMD
Functional: PBE
Structure: optimized geometry

abc: 3.8405 15.6107 9.5405
angles: 90.00 90.00 90.00
Space group Imm2 (No. 44)
Inequivalent atoms, fractional coordinates:
Dy: 0.0000 0.1326 0.0000 (multiplicity 4)
Dy: 0.0000 0.3149 0.7966 (multiplicity 4)
Er: 0.0000 0.0000 0.4176 (multiplicity 2)
Er: 0.0000 0.3539 0.1475 (multiplicity 4)
Ni: 0.0000 0.2370 0.4896 (multiplicity 4)
Te: 0.0000 0.0000 0.7541 (multiplicity 2)
Te: 0.0000 0.5000 0.6528 (multiplicity 2)

---

Model Q:
Compound: Dy4Er3Ni2Te2
Source: OQMD
Functional: PBE
Structure: optimized geometry

abc: 3.8469 15.6029 9.5467
angles: 90.00 90.00 90.00
Space group Imm2 (No. 44)
Inequivalent atoms, fractional coordinates:
Dy: 0.0000 0.1330 0.0000 (multiplicity 4)
Dy: 0.0000 0.3537 0.1473 (multiplicity 4)
Er: 0.0000 0.0000 0.4171 (multiplicity 2)
Er: 0.0000 0.3150 0.7965 (multiplicity 4)
Ni: 0.0000 0.2373 0.4889 (multiplicity 4)
Te: 0.0000 0.0000 0.7542 (multiplicity 2)
Te: 0.0000 0.5000 0.6530 (multiplicity 2)

---

Energy comparison, zero being the most stable, in meV per atom: model P 6; model Q 0.

---

Model P:
Compound: Dy4ErTm2Ni2Te2
Source: OQMD
Functional: PBE
Structure: optimized geometry

abc: 3.8310 15.5975 9.5496
angles: 90.00 90.00 90.00
Space group Imm2 (No. 44)
Inequivalent atoms, fractional coordinates:
Dy: 0.0000 0.1322 0.0000 (multiplicity 4)
Dy: 0.0000 0.3148 0.7975 (multiplicity 4)
Er: 0.0000 0.0000 0.4191 (multiplicity 2)
Tm: 0.0000 0.3542 0.1474 (multiplicity 4)
Ni: 0.0000 0.2360 0.4913 (multiplicity 4)
Te: 0.0000 0.0000 0.7537 (multiplicity 2)
Te: 0.0000 0.5000 0.6542 (multiplicity 2)

---

Model Q:
Compound: Dy4ErTm2Ni2Te2
Source: OQMD
Functional: PBE
Structure: optimized geometry

abc: 3.8406 15.5815 9.5217
angles: 90.00 90.00 90.00
Space group Imm2 (No. 44)
Inequivalent atoms, fractional coordinates:
Dy: 0.0000 0.1329 0.0000 (multiplicity 4)
Dy: 0.0000 0.3536 0.1474 (multiplicity 4)
Er: 0.0000 0.0000 0.4170 (multiplicity 2)
Tm: 0.0000 0.3151 0.7964 (multiplicity 4)
Ni: 0.0000 0.2371 0.4886 (multiplicity 4)
Te: 0.0000 0.0000 0.7541 (multiplicity 2)
Te: 0.0000 0.5000 0.6534 (multiplicity 2)

---

Energy comparison, zero being the most stable, in meV per atom: model P 9; model Q 0.